MgSCl2F: single point on PBEsol structure, meta-GGA SCAN.

Calculated values
ΔE_f (raw) = -0.35 eV/atom
VASP energy = -7.165 eV/atom
SG = No. 123

Cell lengths 5.180, 5.180, 3.642 Å; angles 90.00, 90.00, 90.00 degrees
Positions (direct):
Mg  0.000  0.000  0.000
S  0.500  0.500  0.000
Cl  0.000  0.500  0.500
Cl  0.500  0.000  0.500
F  0.500  0.500  0.500


FeRuBr2: single point on PBEsol structure, meta-GGA SCAN.

Calculated values
ΔE_f (raw) = 0.78 eV/atom
VASP energy = -22.185 eV/atom
distance to the lowest polymorph of the same formula = 0 meV per atom
SG = No. 65

Cell lengths 3.044, 5.694, 8.103 Å; angles 90.00, 90.00, 90.00 degrees
Positions (direct):
Fe  0.000  0.000  0.000
Fe  0.500  0.500  0.000
Ru  0.000  0.000  0.500
Ru  0.500  0.500  0.500
Br  0.000  0.500  0.246
Br  0.000  0.500  0.754
Br  0.500  0.000  0.246
Br  0.500  0.000  0.754


CdSiPb3: single point on PBEsol structure, meta-GGA SCAN.

Calculated values
ΔE_f (raw) = 0.91 eV/atom
VASP energy = -52.640 eV/atom
SG = No. 221

Cell lengths 5.482, 5.482, 5.482 Å; angles 90.00, 90.00, 90.00 degrees
Positions (direct):
Cd  0.000  0.000  0.000
Si  0.500  0.500  0.500
Pb  0.000  0.000  0.500
Pb  0.000  0.500  0.000
Pb  0.500  0.000  0.000


Which of these has the lowest VASP energy? CdSiPb3


The lowest ΔE_f (raw) belongs to which entry? MgSCl2F


Repeat the third record exactly.
CdSiPb3: single point on PBEsol structure, meta-GGA SCAN.

Calculated values
ΔE_f (raw) = 0.91 eV/atom
VASP energy = -52.640 eV/atom
SG = No. 221

Cell lengths 5.482, 5.482, 5.482 Å; angles 90.00, 90.00, 90.00 degrees
Positions (direct):
Cd  0.000  0.000  0.000
Si  0.500  0.500  0.500
Pb  0.000  0.000  0.500
Pb  0.000  0.500  0.000
Pb  0.500  0.000  0.000


What is the VASP energy in the first record? -7.165 eV/atom